[1]
## AcVP2Os (PBE-GGA)

Data for crystalline AcVP2Os at its relaxed geometry.

POSCAR file:
```
AcVP2Os
1.0
3.9858 0.0000 0.0000
0.0000 3.9858 0.0000
-1.9929 -1.9929 5.9676
Os V P Ac
1 1 2 1
Direct
0.2500 0.7500 0.5000
0.7500 0.2500 0.5000
0.6418 0.6418 0.2835
0.3582 0.3582 0.7165
0.0000 0.0000 0.0000
```

Values from the calculation:
- energy (eV/atom) = -7.865
- space group = I-4m2 (119)



[2]
## AcPa2Os (PBE-GGA)

Data for crystalline AcPa2Os at its relaxed geometry.

POSCAR file:
```
AcPa2Os
1.0
-1.9311 0.0487 -3.2823
-2.7923 -2.5186 -0.6041
-8.2771 5.6389 2.7438
Ac Pa Os
1 2 1
Direct
0.0000 0.0000 0.0000
0.8868 0.8868 0.3395
0.1132 0.1132 0.6605
0.5000 0.5000 0.5000
```

Values from the calculation:
- energy relative to the lowest polymorph listed for this composition (kJ/mol of formula units) = 93
- energy (eV/atom) = -8.290
- space group = R-3m (166)



[3]
## AcPaOs (PBE-GGA)

Data for crystalline AcPaOs at its relaxed geometry.

POSCAR file:
```
AcPaOs
1.0
-2.3140 -2.1352 -1.8039
2.7838 -1.5488 -1.7377
0.1858 -2.3084 6.1439
Os Ac Pa
1 1 1
Direct
0.2985 0.2985 0.5970
0.9949 0.9949 0.9898
0.7066 0.7066 0.4132
```

Values from the calculation:
- energy relative to the lowest polymorph listed for this composition (kJ/mol of formula units) = 0
- energy (eV/atom) = -8.304
- space group = I4mm (107)



[4]
## AcPaOs4 (PBE-GGA)

Data for crystalline AcPaOs4 at its relaxed geometry.

POSCAR file:
```
AcPaOs4
1.0
-1.7285 -5.0384 -1.1870
2.2208 -4.3082 2.5079
-2.9023 -2.8221 3.6599
Os Ac Pa
4 1 1
Direct
0.6254 0.6254 0.6254
0.1237 0.6254 0.6254
0.6254 0.6254 0.1237
0.6254 0.1237 0.6254
0.2500 0.2500 0.2500
0.0000 0.0000 0.0000
```

Values from the calculation:
- energy (eV/atom) = -9.773
- space group = F-43m (216)



[5]
## AcPaOs (PBE-GGA)

Data for crystalline AcPaOs at its relaxed geometry.

POSCAR file:
```
AcPaOs
1.0
-3.0057 1.0126 3.8202
0.3209 -2.6556 4.1831
1.8358 2.0725 4.1217
Os Pa Ac
1 1 1
Direct
0.2500 0.2500 0.2500
0.0000 0.0000 0.0000
0.5000 0.5000 0.5000
```

Values from the calculation:
- energy relative to the lowest polymorph listed for this composition (kJ/mol of formula units) = 92
- energy (eV/atom) = -7.986
- space group = F-43m (216)



[6]
## AcPa2Os (PBE-GGA)

Data for crystalline AcPa2Os at its relaxed geometry.

POSCAR file:
```
AcPa2Os
1.0
-1.6916 3.0137 -1.1239
-2.3845 -2.0272 -1.8470
-4.7953 -0.2716 6.4890
Os Pa Ac
1 2 1
Direct
0.5000 0.5000 0.0000
0.0000 0.0000 0.8212
0.0000 0.0000 0.1788
0.5000 0.5000 0.5000
```

Values from the calculation:
- energy relative to the lowest polymorph listed for this composition (kJ/mol of formula units) = 0
- energy (eV/atom) = -8.531
- space group = P4/mmm (123)



[7]
## AcPaZnOs (PBE-GGA)

Data for crystalline AcPaZnOs at its relaxed geometry.

POSCAR file:
```
AcPaZnOs
1.0
5.1105 0.0000 0.0000
2.5553 4.4258 0.0000
2.5553 1.4753 4.1727
Os Zn Ac Pa
1 1 1 1
Direct
0.5000 0.5000 0.5000
0.0000 0.0000 0.0000
0.2500 0.2500 0.2500
0.7500 0.7500 0.7500
```

Values from the calculation:
- energy (eV/atom) = -6.410
- space group = F-43m (216)



[8]
## Ac5Os2Pb (PBE-GGA)

Data for crystalline Ac5Os2Pb at its relaxed geometry.

POSCAR file:
```
Ac5Os2Pb
1.0
-0.4645 3.5601 -7.5792
-3.8573 -6.8284 -2.9710
-4.4992 4.6103 7.0812
Ac Os Pb
10 4 2
Direct
0.0316 0.5316 0.7430
0.2885 0.7885 0.2570
0.4684 0.2885 0.2570
0.0000 0.0000 0.0000
0.7885 0.9684 0.2570
0.5000 0.5000 0.0000
0.5316 0.7115 0.7430
0.7115 0.2115 0.7430
0.2115 0.0316 0.7431
0.9684 0.4684 0.2570
0.8609 0.6391 0.0000
0.3609 0.8609 0.0000
0.1391 0.3609 0.0000
0.6391 0.1391 0.0000
0.7500 0.7500 0.5000
0.2500 0.2500 0.5000
```

Values from the calculation:
- energy (eV/atom) = -6.039
- space group = I4/mcm (140)



[9]
## Ac8OsPb2 (PBE-GGA)

Data for crystalline Ac8OsPb2 at its relaxed geometry.

POSCAR file:
```
Ac8OsPb2
1.0
-3.3902 2.0503 2.7412
-5.0612 -7.1607 -0.9036
6.6705 -4.2749 7.2136
Ac Os Pb
8 1 2
Direct
0.5966 0.5228 0.1932
0.6402 0.0212 0.2804
0.3598 0.9788 0.7196
0.2154 0.3515 0.4307
0.9997 0.2107 0.9994
0.4034 0.4772 0.8068
0.7846 0.6485 0.5693
0.0003 0.7893 0.0006
0.5000 0.0000 0.0000
0.1807 0.7618 0.3613
0.8193 0.2382 0.6387
```

Values from the calculation:
- energy (eV/atom) = -4.864
- space group = C2/m (12)



[10]
## Ac5OsPb2 (PBE-GGA)

Data for crystalline Ac5OsPb2 at its relaxed geometry.

POSCAR file:
```
Ac5OsPb2
1.0
-2.9951 2.6868 4.9497
0.8895 -6.5704 -0.0055
14.7137 1.9855 7.8255
Ac Pb Os
10 4 2
Direct
0.4119 0.8239 0.3788
0.5881 0.1761 0.6212
0.4119 0.8239 0.1212
0.7494 0.4988 0.2500
0.0873 0.1745 0.3791
0.9127 0.8255 0.6209
0.5881 0.1761 0.8788
0.2506 0.5012 0.7500
0.0873 0.1745 0.1209
0.9127 0.8255 0.8791
0.7499 0.4998 0.4510
0.2501 0.5002 0.5490
0.7499 0.4998 0.0490
0.2501 0.5002 0.9510
0.2493 0.4985 0.2500
0.7507 0.5015 0.7500
```

Values from the calculation:
- energy relative to the lowest polymorph listed for this composition (kJ/mol of formula units) = 174
- energy (eV/atom) = -5.046
- space group = Cmcm (63)



[11]
## Ac2OsPb (PBE-GGA)

Data for crystalline Ac2OsPb at its relaxed geometry.

POSCAR file:
```
Ac2OsPb
1.0
3.6100 0.0000 0.0000
1.8050 3.1263 0.0000
1.8050 1.0421 11.2287
Ac Os Pb
2 1 1
Direct
0.0801 0.0801 0.7598
0.9199 0.9199 0.2402
0.0000 0.0000 0.0000
0.5000 0.5000 0.5000
```

Values from the calculation:
- energy (eV/atom) = -5.010
- space group = R-3m (166)



[12]
## Ac5OsPb2 (PBE-GGA)

Data for crystalline Ac5OsPb2 at its relaxed geometry.

POSCAR file:
```
Ac5OsPb2
1.0
-0.6188 1.1751 -4.7098
1.3496 -8.6519 -2.3360
-13.0818 -2.3466 1.1333
Ac Os Pb
10 2 4
Direct
0.0000 0.6336 0.6978
0.0000 0.1336 0.8022
0.0000 0.5000 0.0000
0.5000 0.1810 0.0668
0.0000 0.8664 0.1978
0.5000 0.8190 0.9332
0.0000 0.3664 0.3022
0.0000 0.0000 0.5000
0.5000 0.6810 0.4332
0.5000 0.3190 0.5668
0.0000 0.0000 0.0000
0.0000 0.5000 0.5000
0.5000 0.4193 0.8274
0.5000 0.0807 0.3274
0.5000 0.9193 0.6726
0.5000 0.5807 0.1726
```

Values from the calculation:
- energy relative to the lowest polymorph listed for this composition (kJ/mol of formula units) = 0
- energy (eV/atom) = -5.271
- space group = Pbam (55)



[13]
## Ac12Os6Pb (PBE-GGA)

Data for crystalline Ac12Os6Pb at its relaxed geometry.

POSCAR file:
```
Ac12Os6Pb
1.0
8.8934 0.0409 -3.1692
-4.3864 7.5984 -3.1033
-0.0240 0.0418 9.4414
Ac Pb Os
12 1 6
Direct
0.3124 0.5011 0.1890
0.6876 0.4989 0.8110
0.8765 0.1888 0.6875
0.1891 0.6880 0.8766
0.8065 0.7021 0.5025
0.1235 0.8112 0.3125
0.3041 0.1046 0.8065
0.8109 0.3120 0.1234
0.6959 0.8954 0.1935
0.5023 0.8003 0.6959
0.1935 0.2979 0.4975
0.4977 0.1997 0.3041
0.0000 0.0000 0.0000
0.5792 0.4687 0.1092
0.5300 0.8895 0.4209
0.8909 0.3594 0.4700
0.4700 0.1105 0.5791
0.1091 0.6406 0.5300
0.4208 0.5313 0.8908
```

Values from the calculation:
- energy (eV/atom) = -6.375
- space group = R-3 (148)



[14]
## Ac12Os2Pb5 (PBE-GGA)

Data for crystalline Ac12Os2Pb5 at its relaxed geometry.

POSCAR file:
```
Ac12Os2Pb5
1.0
8.5183 0.0000 0.0000
-4.2592 9.4535 0.1257
0.0000 -3.1840 10.1345
Os Pb Ac
2 5 12
Direct
0.7318 0.0000 0.0000
0.2682 0.0000 0.0000
0.2976 0.5951 0.6374
0.3102 0.6203 0.1654
0.6898 0.3797 0.8346
0.0000 0.0000 0.5000
0.7024 0.4049 0.3626
0.4207 0.3196 0.0824
0.6025 0.7087 0.4311
0.0027 0.0053 0.8237
0.3975 0.2913 0.5689
0.4974 0.9948 0.7847
0.8938 0.2913 0.5689
0.9973 0.9947 0.1763
0.1012 0.6804 0.9176
0.5026 0.0052 0.2153
0.5793 0.6804 0.9176
0.8988 0.3196 0.0824
0.1062 0.7087 0.4311
```

Values from the calculation:
- energy (eV/atom) = -4.987
- space group = C2/m (12)



[15]
## Ac7OsPb4 (PBE-GGA)

Data for crystalline Ac7OsPb4 at its relaxed geometry.

POSCAR file:
```
Ac7OsPb4
1.0
5.4719 0.0000 0.0000
2.7359 9.6117 1.0307
2.7359 1.1000 9.3737
Ac Pb Os
7 4 1
Direct
0.3730 0.5797 0.6744
0.6270 0.4203 0.3256
0.5000 0.0000 0.0000
0.1152 0.6898 0.0798
0.8848 0.3102 0.9202
0.8382 0.9990 0.3246
0.1618 0.0010 0.6754
0.7354 0.7050 0.8242
0.2646 0.2950 0.1758
0.4457 0.7703 0.3382
0.5543 0.2297 0.6618
0.0000 0.0000 0.0000
```

Values from the calculation:
- energy (eV/atom) = -4.862
- space group = C2/m (12)



[16]
## Ac4OsPb (PBE-GGA)

Data for crystalline Ac4OsPb at its relaxed geometry.

POSCAR file:
```
Ac4OsPb
1.0
6.7007 -0.7273 0.0000
-2.6162 9.2635 0.0000
-2.0423 -4.2681 7.3039
Ac Os Pb
8 2 2
Direct
0.0866 0.2081 0.8574
0.2708 0.6493 0.8574
0.7768 0.7236 0.6656
0.9134 0.7919 0.1426
0.6112 0.0580 0.3344
0.2232 0.2764 0.3344
0.7292 0.3507 0.1426
0.3888 0.9420 0.6656
0.7494 0.9994 0.9988
0.2506 0.0006 0.0012
0.6243 0.3743 0.7485
0.3757 0.6257 0.2515
```

Values from the calculation:
- energy (eV/atom) = -5.456
- space group = C2/c (15)



[17]
## Ac12Os5Pd3 (PBE-GGA)

Data for crystalline Ac12Os5Pd3 at its relaxed geometry.

POSCAR file:
```
Ac12Os5Pd3
1.0
-5.5549 6.4121 -12.9500
14.0287 -5.9267 -2.7830
-9.5285 -11.2702 4.6762
Ac Pd Os
48 12 20
Direct
0.1234 0.4108 0.0890
0.4656 0.7875 0.8766
0.9108 0.8219 0.7875
0.0892 0.9110 0.3766
0.6234 0.5890 0.9108
0.5890 0.9656 0.6781
0.5344 0.3219 0.9110
0.8766 0.2875 0.4656
0.6781 0.2125 0.5892
0.0890 0.9108 0.1234
0.3219 0.5344 0.4110
0.0344 0.4110 0.8219
0.2875 0.4108 0.8219
0.3766 0.9656 0.7875
0.7125 0.1234 0.0344
0.0890 0.1781 0.4656
0.5890 0.6234 0.4108
0.9108 0.0890 0.6234
0.4108 0.2875 0.3219
0.8219 0.9108 0.2875
0.4110 0.0344 0.3219
0.7125 0.5892 0.1781
0.5892 0.8766 0.4110
0.3766 0.4110 0.0892
0.2125 0.6781 0.0892
0.4110 0.3766 0.5892
0.5892 0.7125 0.6781
0.4108 0.1234 0.5890
0.2125 0.5344 0.6234
0.8219 0.9110 0.0344
0.1781 0.0892 0.7125
0.3219 0.7875 0.4108
0.4656 0.6781 0.0890
0.8766 0.5892 0.9110
0.9110 0.0892 0.8766
0.6781 0.4656 0.5890
0.9656 0.3766 0.2875
0.2875 0.8766 0.9656
0.9656 0.5890 0.1781
0.7875 0.3219 0.9108
0.1234 0.7125 0.5344
0.9110 0.8219 0.5344
0.1781 0.0890 0.9656
0.5344 0.2125 0.1234
0.0344 0.6234 0.7125
0.6234 0.0344 0.2125
0.7875 0.4656 0.3766
0.0892 0.1781 0.2125
0.3750 0.7500 0.6250
0.8750 0.7500 0.1250
0.8750 0.1250 0.2500
0.7500 0.3750 0.1250
0.1250 0.2500 0.8750
0.1250 0.8750 0.7500
0.3750 0.6250 0.2500
0.2500 0.1250 0.3750
0.7500 0.8750 0.6250
0.6250 0.3750 0.7500
0.6250 0.2500 0.3750
0.2500 0.6250 0.8750
0.1250 0.7500 0.3750
0.0000 0.5000 0.0000
0.0000 0.0000 0.0000
0.7500 0.1250 0.8750
0.8750 0.2500 0.6250
0.5000 0.0000 0.5000
0.6250 0.7500 0.8750
0.1250 0.3750 0.2500
0.5000 0.0000 0.0000
0.6250 0.8750 0.2500
0.2500 0.3750 0.6250
0.2500 0.8750 0.1250
0.8750 0.6250 0.7500
0.3750 0.1250 0.7500
0.5000 0.5000 0.0000
0.0000 0.0000 0.5000
0.5000 0.5000 0.5000
0.7500 0.6250 0.3750
0.3750 0.2500 0.1250
0.0000 0.5000 0.5000
```

Values from the calculation:
- energy (eV/atom) = -6.007
- space group = Ia-3d (230)



[18]
## Ac4OsPd2 (PBE-GGA)

Data for crystalline Ac4OsPd2 at its relaxed geometry.

POSCAR file:
```
Ac4OsPd2
1.0
4.3689 0.0000 -1.1405
-0.8111 6.6820 -3.1069
-0.1821 -0.4345 8.2402
Pd Ac Os
2 4 1
Direct
0.7507 0.7552 0.5015
0.2493 0.2448 0.4985
0.1271 0.4548 0.2543
0.8729 0.5452 0.7457
0.3843 0.0435 0.7685
0.6157 0.9565 0.2315
0.0000 0.0000 0.0000
```

Values from the calculation:
- energy (eV/atom) = -5.858
- space group = C2/m (12)



[19]
## Ac5OsPd (PBE-GGA)

Data for crystalline Ac5OsPd at its relaxed geometry.

POSCAR file:
```
Ac5OsPd
1.0
6.8393 0.8780 -2.0705
-0.3418 6.8869 -2.0705
0.0268 0.0320 11.5561
Ac Os Pd
10 2 2
Direct
0.7484 0.7516 0.7500
0.2516 0.2484 0.2500
0.5654 0.7454 0.3621
0.1394 0.7308 0.5187
0.2308 0.6394 0.0187
0.7692 0.3606 0.9813
0.2454 0.0654 0.8621
0.7546 0.9346 0.1379
0.4346 0.2546 0.6379
0.8606 0.2692 0.4813
0.5000 0.5000 0.5000
0.0000 0.0000 0.0000
0.9225 0.5775 0.2500
0.0775 0.4225 0.7500
```

Values from the calculation:
- energy (eV/atom) = -5.422
- space group = C2/c (15)